# KBaCl2

Crystalline KBaCl2 at its relaxed geometry (GGA-PBEsol, Alexandria).

Unit cell a=17.387 b=4.315 c=4.308 alpha=90.00 beta=90.43 gamma=90.00
Space group Cm (No. 8)
Asymmetric unit:
K  0.000  0.000  0.000 x2
Ba  0.217  0.500  0.506 x2
Cl  0.044  0.500  0.501 x2
Cl  0.189  0.000  0.005 x2

Properties
N(E_F) (states/eV per cell): 3.03
ΔE to the lowest computed polymorph (meV per atom): 0
Formation energy (no corrections) (meV/atom): -1782
Energy (eV/atom): -3.607